[1]
VASP calculation (GGA-PBE) on a relaxed structure of UPt6Rh.

Unit cell a=5.375 b=5.375 c=5.375 alpha=85.71 beta=85.71 gamma=85.71
Sites, in units of the cell vectors:
Pt1 0.832 0.832 0.458
Pt2 0.168 0.542 0.168
Pt3 0.542 0.168 0.168
Pt4 0.168 0.168 0.542
Pt5 0.458 0.832 0.832
Pt6 0.832 0.458 0.832
U1 0.000 0.000 0.000
Rh1 0.500 0.500 0.500

## Properties
Energy relative to the elements: 0.050 eV per atom
Space group: R-3m (166)
Crystal system: trigonal



[2]
VASP calculation (GGA-PBE) on a relaxed structure of LiYPd4.

Unit cell a=4.582 b=6.849 c=9.147 alpha=125.94 beta=89.95 gamma=109.68
Sites, in units of the cell vectors:
Y1 0.250 0.000 0.250
Y2 0.750 0.000 0.750
Pd1 0.464 0.428 0.644
Pd2 0.698 0.897 0.015
Pd3 0.964 0.428 0.144
Pd4 0.802 0.103 0.485
Pd5 0.302 0.103 0.985
Pd6 0.198 0.897 0.515
Pd7 0.536 0.572 0.356
Pd8 0.036 0.572 0.856
Li1 0.000 0.500 0.500
Li2 0.500 0.500 0.000

## Properties
Energy relative to the elements: -0.534 eV per atom
Space group: P-1 (2)
Crystal system: triclinic



[3]
VASP calculation (GGA-PBE) on a relaxed structure of Pa2Si3Pt4Rh.

Unit cell a=4.020 b=4.020 c=10.949 alpha=90.00 beta=90.00 gamma=90.00
Sites, in units of the cell vectors:
Pt1 0.500 0.000 0.663
Pt2 0.000 0.000 0.000
Pt3 0.500 0.500 0.000
Pt4 0.000 0.500 0.337
Pa1 0.500 0.000 0.258
Pa2 0.000 0.500 0.742
Si1 0.000 0.000 0.500
Si2 0.000 0.500 0.125
Si3 0.500 0.000 0.875
Rh1 0.500 0.500 0.500

## Properties
Space group: P-4m2 (115)
Crystal system: tetragonal
Formation energy from raw total energies: -857 meV per atom



[4]
VASP calculation (GGA-PBE) on a relaxed structure of Sn3PtI.

Unit cell a=5.344 b=5.344 c=5.344 alpha=90.00 beta=90.00 gamma=90.00
Sites, in units of the cell vectors:
Sn1 0.000 0.500 0.000
Sn2 0.500 0.000 0.000
Sn3 0.000 0.000 0.500
Pt1 0.000 0.000 0.000
I1 0.500 0.500 0.500

## Properties
Space group: Pm-3m (221)
Crystal system: cubic
Formation energy from raw total energies: -22 meV per atom



[5]
VASP calculation (GGA-PBE) on a relaxed structure of BaLa2Cu.

Unit cell a=9.020 b=9.020 c=7.285 alpha=51.75 beta=51.75 gamma=90.00
Sites, in units of the cell vectors:
Cu1 0.500 0.500 0.000
Cu2 0.250 0.750 0.500
Ba1 0.750 0.250 0.500
Ba2 0.000 0.000 0.000
La1 0.196 0.625 0.250
La2 0.375 0.446 0.750
La3 0.554 0.125 0.250
La4 0.875 0.804 0.750

## Properties
Energy relative to the elements: 0.163 eV per atom
Space group: I-42d (122)
Crystal system: tetragonal



[6]
VASP calculation (GGA-PBE) on a relaxed structure of MnGePCN.

Unit cell a=2.428 b=4.741 c=5.890 alpha=66.55 beta=86.03 gamma=79.80
Each line ends with the local moment (μB).
Sites, in units of the cell vectors:
Mn1 0.146 0.134 0.655  1.60
P1 0.653 0.326 0.290  -0.05
N1 0.374 0.695 0.675  0.01
Ge1 0.658 0.943 0.065  -0.04
C1 0.931 0.542 0.673  -0.06

## Properties
Space group: P1 (1)
Crystal system: triclinic
Formation energy from raw total energies: 251 meV per atom



[7]
VASP calculation (GGA-PBE) on a relaxed structure of LaNdC.

Unit cell a=6.794 b=3.703 c=3.703 alpha=120.00 beta=90.00 gamma=90.00
Sites, in units of the cell vectors:
La1 0.788 0.667 0.333
C1 0.002 0.000 0.000
Nd1 0.210 0.333 0.667

## Properties
Energy relative to the elements: -0.115 eV per atom
Space group: P3m1 (156)
Crystal system: trigonal



[8]
VASP calculation (GGA-PBE) on a relaxed structure of BaHf2Ga.

Unit cell a=5.268 b=5.268 c=10.674 alpha=75.71 beta=75.71 gamma=90.00
Sites, in units of the cell vectors:
Ba1 0.750 0.250 0.500
Ba2 0.000 0.000 0.000
Hf1 0.356 0.625 0.250
Hf2 0.394 0.125 0.250
Hf3 0.875 0.644 0.750
Hf4 0.375 0.606 0.750
Ga1 0.250 0.750 0.500
Ga2 0.500 0.500 0.000

## Properties
Energy relative to the elements: 0.692 eV per atom
Space group: I-42d (122)
Crystal system: tetragonal



Per-record VASP energy, eV/atom: -6.810, -5.392, -7.534, -3.942, -3.805, -7.098, -6.421, -5.522